(1)
Density functional theory data (GGA-PBE) for a relaxed structure of YTmAg2.

Computed properties:
The value obtained for the formation energy is -305 meV per atom. Its crystal system is orthorhombic.

abc: 4.747 3.668 10.969
angles: 90.00 90.00 90.00
Space group Amm2 (No. 38)
Asymmetric unit:
Y1 0.000 0.000 0.000 [2 per cell]
Tm1 0.500 0.000 0.288 [2 per cell]
Ag1 0.000 0.000 0.726 [2 per cell]
Ag2 0.500 0.000 0.565 [2 per cell]



(2)
Density functional theory data (GGA-PBE) for a relaxed structure of LuBeFeBi.

Computed properties:
Its crystal system is cubic. The calculation puts the energy above the most stable polymorph in this dataset at 0.00 eV/f.u.

abc: 6.482 6.482 6.482
angles: 90.00 90.00 90.00
Space group F-43m (No. 216)
Asymmetric unit:
Lu1 0.000 0.000 0.000 [4 per cell]
Be1 0.250 0.250 0.750 [4 per cell]
Fe1 0.250 0.250 0.250 [4 per cell]
Bi1 0.000 0.000 0.500 [4 per cell]



(3)
Density functional theory data (GGA-PBE) for a relaxed structure of SrTmPO.

Computed properties:
Its crystal system is orthorhombic. The calculation puts the energy above the most stable polymorph in this dataset at 0.00 eV/f.u.

abc: 3.982 6.569 7.025
angles: 90.00 90.00 90.00
Space group Pmc2_1 (No. 26)
Asymmetric unit:
Sr1 0.000 0.051 0.000 [2 per cell]
Tm1 0.500 0.381 0.355 [2 per cell]
P1 0.500 0.236 0.722 [2 per cell]
O1 0.000 0.268 0.285 [2 per cell]



Number 1: volume 191.0 Å³ per cell, total magnetization 0.0 μB/f.u.. Number 2: volume 272.4 Å³ per cell, total magnetization 0.0 μB/f.u.. Number 3: volume 183.7 Å³ per cell, total magnetization 0.0 μB/f.u..